# Ba2SrPt

An optimized crystal structure of Ba2SrPt (PBE, the Alexandria database).

Computed properties:
Size of the total moment in μB/f.u.: 0.000
Density of states at the Fermi level in states/eV/atom: 1.09
Raw total energy in eV per atom: -3.26

a b c (Å): 3.998 3.998 10.813
angles (deg): 90.00 90.00 90.00
Space group P4/mmm (No. 123)
Asymmetric unit:
Ba  0.000  0.000  0.167
Sr  0.500  0.500  0.500
Pt  0.500  0.500  0.000

# BaSrPt2

An optimized crystal structure of BaSrPt2 (PBE, the Alexandria database).

Computed properties:
Size of the total moment in μB/f.u.: 0.000
Density of states at the Fermi level in states/eV/atom: 0.01
Raw total energy in eV per atom: -4.33

a b c (Å): 8.039 8.039 7.882
angles (deg): 90.00 90.00 90.00
Space group I-42d (No. 122)
Asymmetric unit:
Ba  0.000  0.000  0.000
Sr  0.000  0.000  0.500
Pt  0.239  0.250  0.625

# BaSr2Pt

An optimized crystal structure of BaSr2Pt (PBE, the Alexandria database).

Computed properties:
Size of the total moment in μB/f.u.: 0.000
Density of states at the Fermi level in states/eV/atom: 1.15
Raw total energy in eV per atom: -2.90

a b c (Å): 8.072 8.072 8.072
angles (deg): 90.00 90.00 90.00
Space group Fm-3m (No. 225)
Asymmetric unit:
Ba  0.000  0.000  0.000
Sr  0.250  0.250  0.250
Pt  0.000  0.000  0.500

# Ba2SrPt

An optimized crystal structure of Ba2SrPt (PBE, the Alexandria database).

Computed properties:
Size of the total moment in μB/f.u.: 0.000
Density of states at the Fermi level in states/eV/atom: 1.01
Raw total energy in eV per atom: -2.87

a b c (Å): 8.311 8.311 8.311
angles (deg): 90.00 90.00 90.00
Space group Fm-3m (No. 225)
Asymmetric unit:
Ba  0.250  0.250  0.250
Sr  0.000  0.000  0.000
Pt  0.000  0.000  0.500

# BaSr3Pt2

An optimized crystal structure of BaSr3Pt2 (PBE, the Alexandria database).

Computed properties:
Size of the total moment in μB/f.u.: 0.000
Density of states at the Fermi level in states/eV/atom: 0.34
Raw total energy in eV per atom: -3.81

a b c (Å): 18.964 4.511 14.052
angles (deg): 90.00 126.13 90.00
Space group C2/m (No. 12)
Asymmetric unit:
Ba  0.064  0.000  0.195
Sr  0.062  0.500  0.695
Sr  0.190  0.000  0.557
Sr  0.191  0.500  0.053
Pt  0.125  0.000  0.874
Pt  0.126  0.500  0.382

# Ba2SrPt

An optimized crystal structure of Ba2SrPt (PBE, the Alexandria database).

Computed properties:
Size of the total moment in μB/f.u.: 0.000
Density of states at the Fermi level in states/eV/atom: 0.64
Raw total energy in eV per atom: -3.36

a b c (Å): 4.420 14.602 10.657
angles (deg): 90.00 90.00 90.00
Space group Cmcm (No. 63)
Asymmetric unit:
Ba  0.000  0.148  0.071
Sr  0.000  0.406  0.250
Pt  0.000  0.239  0.750

# Ba2Sr3Pt4

An optimized crystal structure of Ba2Sr3Pt4 (PBE, the Alexandria database).

Computed properties:
Size of the total moment in μB/f.u.: 0.000
Density of states at the Fermi level in states/eV/atom: 0.47
Raw total energy in eV per atom: -4.45

a b c (Å): 8.338 8.309 8.138
angles (deg): 90.00 107.49 90.00
Space group P2_1/c (No. 14)
Asymmetric unit:
Ba  0.198  0.179  0.082
Sr  0.243  0.675  0.251
Sr  0.500  0.000  0.500
Pt  0.087  0.530  0.880
Pt  0.496  0.120  0.880

# Ba2Sr2Pt

An optimized crystal structure of Ba2Sr2Pt (PBE, the Alexandria database).

Computed properties:
Size of the total moment in μB/f.u.: 0.000
Density of states at the Fermi level in states/eV/atom: 0.09
Raw total energy in eV per atom: -2.79

a b c (Å): 8.024 8.024 6.931
angles (deg): 90.00 90.00 90.00
Space group P4/mbm (No. 127)
Asymmetric unit:
Ba  0.180  0.320  0.000
Sr  0.172  0.672  0.500
Pt  0.000  0.000  0.500

# BaSr2Pt

An optimized crystal structure of BaSr2Pt (PBE, the Alexandria database).

Computed properties:
Size of the total moment in μB/f.u.: 0.000
Density of states at the Fermi level in states/eV/atom: 0.95
Raw total energy in eV per atom: -3.21

a b c (Å): 3.898 5.340 15.817
angles (deg): 90.00 90.00 90.00
Space group Imm2 (No. 44)
Asymmetric unit:
Ba  0.000  0.000  0.000
Sr  0.000  0.000  0.321
Sr  0.000  0.500  0.164
Pt  0.000  0.500  0.666

# Ba2SrPt

An optimized crystal structure of Ba2SrPt (PBE, the Alexandria database).

Computed properties:
Size of the total moment in μB/f.u.: 0.000
Density of states at the Fermi level in states/eV/atom: 1.12
Raw total energy in eV per atom: -3.26

a b c (Å): 4.063 6.222 13.580
angles (deg): 90.00 90.00 90.00
Space group Imm2 (No. 44)
Asymmetric unit:
Ba  0.000  0.000  0.000
Ba  0.000  0.500  0.172
Sr  0.000  0.000  0.341
Pt  0.000  0.500  0.676

# Ba2SrTaPt

An optimized crystal structure of Ba2SrTaPt (PBE, the Alexandria database).

Computed properties:
Size of the total moment in μB/f.u.: 1.972
Density of states at the Fermi level in states/eV/atom: 1.30
Raw total energy in eV per atom: -4.41

a b c (Å): 6.326 6.326 5.090
angles (deg): 90.00 90.00 90.00
Space group P4/mmm (No. 123)
Asymmetric unit:
Ba  0.000  0.500  0.000
Sr  0.000  0.000  0.500
Ta  0.500  0.500  0.500
Pt  0.500  0.500  0.000

# BaSrTlPt

An optimized crystal structure of BaSrTlPt (PBE, the Alexandria database).

Computed properties:
Size of the total moment in μB/f.u.: 0.000
Density of states at the Fermi level in states/eV/atom: 0.80
Raw total energy in eV per atom: -3.42

a b c (Å): 7.945 7.945 7.945
angles (deg): 90.00 90.00 90.00
Space group F-43m (No. 216)
Asymmetric unit:
Ba  0.000  0.000  0.000
Sr  0.000  0.000  0.500
Tl  0.250  0.250  0.750
Pt  0.250  0.250  0.250

# BaSr2YPt

An optimized crystal structure of BaSr2YPt (PBE, the Alexandria database).

Computed properties:
Size of the total moment in μB/f.u.: 0.000
Density of states at the Fermi level in states/eV/atom: 0.96
Raw total energy in eV per atom: -3.95

a b c (Å): 6.126 6.126 5.563
angles (deg): 90.00 90.00 90.00
Space group P4/mmm (No. 123)
Asymmetric unit:
Ba  0.000  0.000  0.000
Sr  0.000  0.500  0.500
Y  0.500  0.500  0.000
Pt  0.500  0.500  0.500

# Ba2SrYPt

An optimized crystal structure of Ba2SrYPt (PBE, the Alexandria database).

Computed properties:
Size of the total moment in μB/f.u.: 0.000
Density of states at the Fermi level in states/eV/atom: 0.58
Raw total energy in eV per atom: -3.94

a b c (Å): 6.379 6.379 5.564
angles (deg): 90.00 90.00 90.00
Space group P4/mmm (No. 123)
Asymmetric unit:
Ba  0.000  0.500  0.000
Sr  0.000  0.000  0.500
Y  0.500  0.500  0.500
Pt  0.500  0.500  0.000

# BaSr2ZnPt

An optimized crystal structure of BaSr2ZnPt (PBE, the Alexandria database).

Computed properties:
Size of the total moment in μB/f.u.: 0.000
Density of states at the Fermi level in states/eV/atom: 0.93
Raw total energy in eV per atom: -2.82

a b c (Å): 5.964 5.964 5.131
angles (deg): 90.00 90.00 90.00
Space group P4/mmm (No. 123)
Asymmetric unit:
Ba  0.000  0.000  0.000
Sr  0.000  0.500  0.500
Zn  0.500  0.500  0.000
Pt  0.500  0.500  0.500

# BaSrZn2Pt

An optimized crystal structure of BaSrZn2Pt (PBE, the Alexandria database).

Computed properties:
Size of the total moment in μB/f.u.: 0.000
Density of states at the Fermi level in states/eV/atom: 0.69
Raw total energy in eV per atom: -2.73

a b c (Å): 5.128 5.128 5.572
angles (deg): 90.00 90.00 90.00
Space group P4/mmm (No. 123)
Asymmetric unit:
Ba  0.000  0.000  0.000
Sr  0.500  0.500  0.000
Zn  0.000  0.500  0.500
Pt  0.500  0.500  0.500

# BaSr2ZnPt

An optimized crystal structure of BaSr2ZnPt (PBE, the Alexandria database).

Computed properties:
Size of the total moment in μB/f.u.: 0.000
Density of states at the Fermi level in states/eV/atom: 0.64
Raw total energy in eV per atom: -2.84

a b c (Å): 5.887 5.887 6.173
angles (deg): 90.00 90.00 90.00
Space group P4/mmm (No. 123)
Asymmetric unit:
Ba  0.000  0.000  0.000
Sr  0.000  0.500  0.500
Zn  0.500  0.500  0.000
Pt  0.000  0.000  0.500

# BaSrZn2Pt2

An optimized crystal structure of BaSrZn2Pt2 (PBE, the Alexandria database).

Computed properties:
Size of the total moment in μB/f.u.: 0.000
Density of states at the Fermi level in states/eV/atom: 0.37
Raw total energy in eV per atom: -3.74

a b c (Å): 4.4641 4.4641 8.8033
angles (deg): 90.00 90.00 120.00
Space group P-3m1 (No. 164)
Asymmetric unit:
Ba  0.0000  0.0000  0.0000
Sr  0.0000  0.0000  0.5000
Zn  0.3333  0.6667  0.2668
Pt  0.3333  0.6667  0.7368

# BaTaPt2

An optimized crystal structure of BaTaPt2 (PBE, the Alexandria database).

Computed properties:
Size of the total moment in μB/f.u.: 0.714
Density of states at the Fermi level in states/eV/atom: 0.86
Raw total energy in eV per atom: -6.47

a b c (Å): 4.106 5.996 8.218
angles (deg): 90.00 90.00 90.00
Space group Immm (No. 71)
Asymmetric unit:
Ba  0.000  0.000  0.000
Ta  0.000  0.000  0.500
Pt  0.000  0.500  0.190

# BaTaPt2

An optimized crystal structure of BaTaPt2 (PBE, the Alexandria database).

Computed properties:
Size of the total moment in μB/f.u.: 0.000
Density of states at the Fermi level in states/eV/atom: 1.51
Raw total energy in eV per atom: -6.55

a b c (Å): 7.655 7.655 7.543
angles (deg): 90.00 90.00 90.00
Space group I-42d (No. 122)
Asymmetric unit:
Ba  0.000  0.000  0.000
Ta  0.000  0.000  0.500
Pt  0.170  0.750  0.625